Entry 1:
## ZrRu2O2 (PBE)

Data for ZrRu2O2 after structural relaxation.

The structure in CIF format:
```
data_ZrRu2O2
_chemical_formula_sum 'Zr2 Ru4 O4'
_cell_length_a 5.6886
_cell_length_b 5.6886
_cell_length_c 4.1041
_cell_angle_alpha 90.00
_cell_angle_beta 90.00
_cell_angle_gamma 90.00
_space_group_name_H-M_alt 'P 4/m b m'
_space_group_IT_number 127
_space_group_name_Hall '-P 4 2ab'
loop_
_atom_site_label
_atom_site_fract_x
_atom_site_fract_y
_atom_site_fract_z
Zr1 0.0000 0.0000 0.0000
Ru1 0.1531 0.3469 0.5000
O1 0.1673 0.3327 0.0000
```

uncorrected formation energy: -1.19 eV per atom
energy above the lowest structure with this stoichiometry: 0.0 meV/atom

Entry 2:
## YSb (PBE)

Data for YSb after structural relaxation.

The structure in CIF format:
```
data_YSb
_chemical_formula_sum 'Y6 Sb6'
_cell_length_a 11.3991
_cell_length_b 4.1340
_cell_length_c 7.9838
_cell_angle_alpha 90.00
_cell_angle_beta 111.45
_cell_angle_gamma 90.00
_space_group_name_H-M_alt 'C 1 m 1'
_space_group_IT_number 8
_space_group_name_Hall 'C -2y'
loop_
_atom_site_label
_atom_site_fract_x
_atom_site_fract_y
_atom_site_fract_z
Y1 0.0000 0.0000 0.0000
Y2 0.1424 0.0000 0.6477
Y3 0.3235 0.0000 0.2832
Sb1 0.1095 0.5000 0.3276
Sb2 0.2281 0.5000 0.9737
Sb3 0.4257 0.0000 0.6854
```

uncorrected formation energy: -0.95 eV per atom

Entry 3:
## Ba8IrPt3 (PBE)

Data for Ba8IrPt3 after structural relaxation.

The structure in CIF format:
```
data_Ba8IrPt3
_chemical_formula_sum 'Ba16 Ir2 Pt6'
_cell_length_a 15.7003
_cell_length_b 9.2685
_cell_length_c 9.0968
_cell_angle_alpha 90.00
_cell_angle_beta 124.00
_cell_angle_gamma 90.00
_space_group_name_H-M_alt 'C 1 2/m 1'
_space_group_IT_number 12
_space_group_name_Hall '-C 2y'
loop_
_atom_site_label
_atom_site_fract_x
_atom_site_fract_y
_atom_site_fract_z
Ba1 0.0066 0.2438 0.2382
Ba2 0.2372 0.0000 0.2493
Ba3 0.2410 0.5000 0.2580
Ir1 0.0000 0.0000 0.0000
Pt1 0.0000 0.5000 0.0000
Pt2 0.2500 0.2500 0.5000
```

energy relative to the elements: -0.507 eV per atom

These records have calculated total energy values of -8.5931 -6.2426 -4.0374 eV/atom, in the order they appear.
These records have total magnetization values of 0.0 0.0 0.0 μB per formula unit, in the order they appear.